No. 1
Entry from Alexandria: a geometry-optimized Nd4PtS2Br structure (PBE).

## Properties
Total magnetic moment, Bohr magnetons per cell: 0.00
Formation energy (no corrections), eV/f.u.: -12.60
E_tot, eV/cell: -47.64

Lattice parameters (Å, degrees): 7.2860 4.0276 7.3614 90.00 108.29 90.00
Space group P2/m (No. 10)
Symmetry-distinct sites (fractional):
1 Nd 0.2296 0.0000 0.2225 [2 per cell]
2 Nd 0.2375 0.5000 0.7531 [2 per cell]
3 Pt 0.0000 0.0000 0.5000 [1 per cell]
4 S 0.0000 0.5000 0.0000 [1 per cell]
5 S 0.5000 0.0000 0.0000 [1 per cell]
6 Br 0.5000 0.5000 0.5000 [1 per cell]

No. 2
Entry from Alexandria: a geometry-optimized Nd4Er3Th2 structure (PBE).

## Properties
Calculated formation energy, kJ per mole of atoms: 11.39
Total magnetic moment, Bohr magnetons per cell: 0.00
E_tot, eV/cell: -186.15
Polymorph energy (0 for the lowest one), meV/atom: 39

Lattice parameters (Å, degrees): 16.2710 11.8864 6.1960 90.00 97.69 90.00
Space group C2/c (No. 15)
Symmetry-distinct sites (fractional):
1 Nd 0.0508 0.1381 0.0163 [8 per cell]
2 Nd 0.2161 0.3670 0.8467 [8 per cell]
3 Er 0.0000 0.3929 0.7500 [4 per cell]
4 Er 0.1695 0.1110 0.5810 [8 per cell]
5 Th 0.1089 0.3617 0.3110 [8 per cell]

No. 3
Entry from Alexandria: a geometry-optimized Pm2Y3Er6Th structure (PBE).

## Properties
Calculated formation energy, kJ per mole of atoms: 2.99
Total magnetic moment, Bohr magnetons per cell: 0.00
E_tot, eV/cell: -126.64

Lattice parameters (Å, degrees): 6.1698 10.6758 11.7481 90.00 100.08 90.00
Space group C2/m (No. 12)
Symmetry-distinct sites (fractional):
1 Pm 0.0000 0.1666 0.0000 [4 per cell]
2 Y 0.0000 0.0000 0.5000 [2 per cell]
3 Y 0.0000 0.3329 0.5000 [4 per cell]
4 Er 0.2453 0.5000 0.7501 [4 per cell]
5 Er 0.2489 0.3352 0.2498 [8 per cell]
6 Th 0.0000 0.5000 0.0000 [2 per cell]

No. 4
Entry from Alexandria: a geometry-optimized LaSb2Te structure (PBE).

## Properties
Total magnetic moment, Bohr magnetons per cell: 0.00
Formation energy (no corrections), eV/f.u.: -2.71
E_tot, eV/cell: -19.03

Lattice parameters (Å, degrees): 4.3040 5.0133 5.4036 90.00 90.00 90.00
Space group Pmmm (No. 47)
Symmetry-distinct sites (fractional):
1 La 0.0000 0.0000 0.0000 [1 per cell]
2 Sb 0.0000 0.5000 0.5000 [1 per cell]
3 Sb 0.5000 0.0000 0.5000 [1 per cell]
4 Te 0.5000 0.5000 0.0000 [1 per cell]

No. 5
Entry from Alexandria: a geometry-optimized Dy2ThPt3 structure (PBE).

## Properties
Calculated formation energy, kJ per mole of atoms: -114.84
Total magnetic moment, Bohr magnetons per cell: 0.00
E_tot, eV/cell: -83.78

Lattice parameters (Å, degrees): 4.1175 4.1175 17.4343 90.00 90.00 90.00
Space group I4/mmm (No. 139)
Symmetry-distinct sites (fractional):
1 Dy 0.0000 0.0000 0.1677 [4 per cell]
2 Th 0.0000 0.0000 0.5000 [2 per cell]
3 Pt 0.0000 0.0000 0.0000 [2 per cell]
4 Pt 0.0000 0.0000 0.3336 [4 per cell]

No. 6
Entry from Alexandria: a geometry-optimized RbLa2Hf structure (PBE).

## Properties
Calculated formation energy, kJ per mole of atoms: 95.30
Total magnetic moment, Bohr magnetons per cell: 0.00
E_tot, eV/cell: -67.30
Polymorph energy (0 for the lowest one), meV/atom: 191

Lattice parameters (Å, degrees): 9.0499 9.0499 7.1746 90.00 90.00 90.00
Space group I-42d (No. 122)
Symmetry-distinct sites (fractional):
1 Rb 0.0000 0.0000 0.0000 [4 per cell]
2 La 0.2136 0.2500 0.6250 [8 per cell]
3 Hf 0.0000 0.0000 0.5000 [4 per cell]

No. 7
Entry from Alexandria: a geometry-optimized NaAlPb structure (PBE).

## Properties
Calculated formation energy, kJ per mole of atoms: 22.26
Total magnetic moment, Bohr magnetons per cell: 0.00
E_tot, eV/cell: -32.31

Lattice parameters (Å, degrees): 7.2723 7.2723 7.5441 90.00 90.00 90.00
Space group P4_122 (No. 91)
Symmetry-distinct sites (fractional):
1 Na 0.0000 0.2678 0.0000 [4 per cell]
2 Al 0.3609 0.3609 0.3750 [4 per cell]
3 Pb 0.2442 0.5000 0.7500 [4 per cell]

No. 8
Entry from Alexandria: a geometry-optimized Ba3Zn2Pb3 structure (PBE).

## Properties
Calculated formation energy, kJ per mole of atoms: -42.19
Total magnetic moment, Bohr magnetons per cell: 0.00
E_tot, eV/cell: -91.76

Lattice parameters (Å, degrees): 5.2109 12.2908 17.0396 90.00 90.00 90.00
Space group Cmcm (No. 63)
Symmetry-distinct sites (fractional):
1 Ba 0.0000 0.0919 0.1082 [8 per cell]
2 Ba 0.0000 0.3731 0.2500 [4 per cell]
3 Zn 0.0000 0.2079 0.5986 [8 per cell]
4 Pb 0.0000 0.3246 0.7500 [4 per cell]
5 Pb 0.0000 0.3747 0.0331 [8 per cell]

No. 9
Entry from Alexandria: a geometry-optimized Pm2Pr7Ho2 structure (PBE).

## Properties
Calculated formation energy, kJ per mole of atoms: 15.43
Total magnetic moment, Bohr magnetons per cell: 0.00
E_tot, eV/cell: -100.71
Polymorph energy (0 for the lowest one), meV/atom: 0

Lattice parameters (Å, degrees): 10.0783 9.6322 8.4088 90.00 105.63 90.00
Space group C2/m (No. 12)
Symmetry-distinct sites (fractional):
1 Pm 0.0803 0.0000 0.3218 [4 per cell]
2 Pr 0.0000 0.5000 0.5000 [2 per cell]
3 Pr 0.2007 0.2028 0.6782 [8 per cell]
4 Pr 0.2244 0.0000 0.0299 [4 per cell]
5 Ho 0.0000 0.2863 0.0000 [4 per cell]

No. 10
Entry from Alexandria: a geometry-optimized LiGa3C structure (PBE).

## Properties
Calculated formation energy, kJ per mole of atoms: 62.37
Total magnetic moment, Bohr magnetons per cell: 0.00
E_tot, eV/cell: -16.99
Polymorph energy (0 for the lowest one), meV/atom: 0

Lattice parameters (Å, degrees): 4.3555 4.3555 4.3555 90.00 90.00 90.00
Space group Pm-3m (No. 221)
Symmetry-distinct sites (fractional):
1 Li 0.0000 0.0000 0.0000 [1 per cell]
2 Ga 0.0000 0.5000 0.5000 [3 per cell]
3 C 0.5000 0.5000 0.5000 [1 per cell]

No. 11
Entry from Alexandria: a geometry-optimized CuPbIO2 structure (PBE).

## Properties
Total magnetic moment, Bohr magnetons per cell: 0.76
Formation energy (no corrections), eV/f.u.: 0.66
E_tot, eV/cell: -18.62

Lattice parameters (Å, degrees): 4.1799 4.1799 4.9501 90.00 90.00 90.00
Space group P4/mmm (No. 123)
Symmetry-distinct sites (fractional):
1 Cu 0.0000 0.0000 0.0000 [1 per cell]
2 Pb 0.5000 0.5000 0.5000 [1 per cell]
3 I 0.0000 0.0000 0.5000 [1 per cell]
4 O 0.0000 0.5000 0.0000 [2 per cell]

No. 12
Entry from Alexandria: a geometry-optimized SrAsO3 structure (PBE).

## Properties
Total magnetic moment, Bohr magnetons per cell: 0.00
Formation energy (no corrections), eV/f.u.: -10.04
E_tot, eV/cell: -124.97

Lattice parameters (Å, degrees): 3.6830 13.6183 6.1643 90.00 90.00 90.00
Space group Cmcm (No. 63)
Symmetry-distinct sites (fractional):
1 Sr 0.0000 0.1685 0.2500 [4 per cell]
2 As 0.0000 0.4229 0.2500 [4 per cell]
3 O 0.0000 0.0261 0.7500 [4 per cell]
4 O 0.0000 0.3410 0.0304 [8 per cell]

No. 13
Entry from Alexandria: a geometry-optimized InSnAu2 structure (PBE).

## Properties
Calculated formation energy, kJ per mole of atoms: -4.55
Total magnetic moment, Bohr magnetons per cell: 0.00
E_tot, eV/cell: -53.94

Lattice parameters (Å, degrees): 7.5864 7.5864 6.6825 90.00 90.00 90.00
Space group I-42d (No. 122)
Symmetry-distinct sites (fractional):
1 In 0.0000 0.0000 0.0000 [4 per cell]
2 Sn 0.0000 0.0000 0.5000 [4 per cell]
3 Au 0.2489 0.2500 0.6250 [8 per cell]

No. 14
Entry from Alexandria: a geometry-optimized HoErLuSc structure (PBE).

## Properties
Calculated formation energy, kJ per mole of atoms: 11.35
Total magnetic moment, Bohr magnetons per cell: 0.00
E_tot, eV/cell: -78.09

Lattice parameters (Å, degrees): 7.7470 7.7470 7.7470 90.00 90.00 90.00
Space group F-43m (No. 216)
Symmetry-distinct sites (fractional):
1 Ho 0.0000 0.0000 0.0000 [4 per cell]
2 Er 0.0000 0.0000 0.5000 [4 per cell]
3 Lu 0.2500 0.2500 0.2500 [4 per cell]
4 Sc 0.2500 0.2500 0.7500 [4 per cell]

No. 15
Entry from Alexandria: a geometry-optimized CeDyCuOs structure (PBE).

## Properties
Calculated formation energy, kJ per mole of atoms: -17.71
Total magnetic moment, Bohr magnetons per cell: 0.00
E_tot, eV/cell: -106.38

Lattice parameters (Å, degrees): 6.9212 6.9212 6.9212 90.00 90.00 90.00
Space group F-43m (No. 216)
Symmetry-distinct sites (fractional):
1 Ce 0.0000 0.0000 0.0000 [4 per cell]
2 Dy 0.0000 0.0000 0.5000 [4 per cell]
3 Cu 0.2500 0.2500 0.7500 [4 per cell]
4 Os 0.2500 0.2500 0.2500 [4 per cell]

No. 16
Entry from Alexandria: a geometry-optimized Pr2SmTm3As6 structure (PBE).

## Properties
Calculated formation energy, kJ per mole of atoms: -144.22
Total magnetic moment, Bohr magnetons per cell: 0.00
E_tot, eV/cell: -147.05

Lattice parameters (Å, degrees): 18.1714 4.1751 8.3367 90.00 103.14 90.00
Space group C2/m (No. 12)
Symmetry-distinct sites (fractional):
1 Pr 0.1662 0.0000 0.3325 [4 per cell]
2 Sm 0.0000 0.5000 0.0000 [2 per cell]
3 Tm 0.0000 0.5000 0.5000 [2 per cell]
4 Tm 0.1669 0.0000 0.8337 [4 per cell]
5 As 0.0036 0.0000 0.7457 [4 per cell]
6 As 0.1633 0.5000 0.5918 [4 per cell]
7 As 0.1685 0.5000 0.0740 [4 per cell]

No. 17
Entry from Alexandria: a geometry-optimized ErZr2O structure (PBE).

## Properties
Total magnetic moment, Bohr magnetons per cell: 0.00
Formation energy (no corrections), eV/f.u.: -3.69
E_tot, eV/cell: -90.93

Lattice parameters (Å, degrees): 3.3055 3.3055 26.0673 90.00 90.00 120.00
Space group R-3m (No. 166, hexagonal axes)
Symmetry-distinct sites (fractional):
1 Er 0.0000 0.0000 0.0000 [3 per cell]
2 Zr 0.0000 0.0000 0.1184 [6 per cell]
3 O 0.0000 0.0000 0.5000 [3 per cell]

No. 18
Entry from Alexandria: a geometry-optimized Ba3ScAl structure (PBE).

## Properties
Calculated formation energy, kJ per mole of atoms: 52.61
Total magnetic moment, Bohr magnetons per cell: 0.05
E_tot, eV/cell: -13.12
Polymorph energy (0 for the lowest one), meV/atom: 0

Lattice parameters (Å, degrees): 6.4889 6.4889 6.4889 90.00 90.00 90.00
Space group Pm-3m (No. 221)
Symmetry-distinct sites (fractional):
1 Ba 0.0000 0.0000 0.5000 [3 per cell]
2 Sc 0.5000 0.5000 0.5000 [1 per cell]
3 Al 0.0000 0.0000 0.0000 [1 per cell]

No. 19
Entry from Alexandria: a geometry-optimized CrTc structure (PBE).

## Properties
Calculated formation energy, kJ per mole of atoms: 45.30
Total magnetic moment, Bohr magnetons per cell: 0.00
E_tot, eV/cell: -114.30

Lattice parameters (Å, degrees): 6.9840 6.9840 4.1548 90.00 90.00 120.00
Space group P6_3/m (No. 176)
Symmetry-distinct sites (fractional):
1 Cr 0.0509 0.2182 0.2500 [6 per cell]
2 Tc 0.0944 0.5007 0.7500 [6 per cell]

No. 20
Entry from Alexandria: a geometry-optimized Pm7Dy12Er structure (PBE).

## Properties
Calculated formation energy, kJ per mole of atoms: 22.53
Total magnetic moment, Bohr magnetons per cell: 0.00
E_tot, eV/cell: -265.12
Polymorph energy (0 for the lowest one), meV/atom: 0

Lattice parameters (Å, degrees): 11.9768 11.9768 16.2086 90.00 90.00 120.00
Space group R-3 (No. 148, hexagonal axes)
Symmetry-distinct sites (fractional):
1 Pm 0.0000 0.0000 0.0000 [3 per cell]
2 Pm 0.0562 0.1883 0.2898 [18 per cell]
3 Dy 0.0258 0.4502 0.2220 [18 per cell]
4 Dy 0.0518 0.5859 0.5828 [18 per cell]
5 Er 0.0000 0.0000 0.5000 [3 per cell]